Computed, not measured: a relaxed structure of Hf2V3Ir at the PBE level of DFT. Values from VASP.

## Properties
Size of the total moment, Bohr magnetons per cell: 0.0
Space group: R-3m (166)
Formation energy, eV/atom: -0.48
Energy, eV per atom: -9.83

Quantum ESPRESSO input file:
```
&SYSTEM
  ibrav = 0, nat = 6, ntyp = 3
/
ATOMIC_SPECIES
Hf 178.49 Hf.upf
V 50.94 V.upf
Ir 192.22 Ir.upf
CELL_PARAMETERS angstrom
2.575 1.487 4.275
-2.575 1.487 4.275
0.000 -2.973 4.275
ATOMIC_POSITIONS crystal
Hf 0.125 0.125 0.125
Hf 0.875 0.875 0.875
V 0.000 0.500 0.500
V 0.500 0.000 0.500
V 0.500 0.500 0.000
Ir 0.500 0.500 0.500
```